Nd3Dy8Ho after structural relaxation, computed with PBE.

Summary:
total moment: 0.00 μB per formula unit
formation energy: 0.62 eV per atom
DFT total energy: -0.296 Ry/atom
space-group type: I-42m
Fermi-level density of states: 1.50 states/eV per atom

Geometry as POSCAR:
```
Nd3Dy8Ho
1.0
-6.6741 1.0601 4.9735
-1.3673 -3.2607 -7.6093
5.5979 -5.8186 2.2827
Dy Nd Ho
8 3 1
Direct
0.0000 0.7636 0.2544 Dy
0.0000 0.2544 0.7636 Dy
0.4908 0.2364 0.2364 Dy
0.2511 0.3716 0.3716 Dy
0.5092 0.7456 0.7456 Dy
0.0000 0.6284 0.8795 Dy
0.7489 0.1205 0.1205 Dy
0.0000 0.8795 0.6284 Dy
0.0000 0.5000 0.5000 Nd
0.5000 0.2500 0.7500 Nd
0.5000 0.7500 0.2500 Nd
0.0000 0.0000 0.0000 Ho
```


SiTe2Ir after structural relaxation, computed with PBE.

Summary:
total moment: 0.00 μB per formula unit
energy relative to the elements, uncorrected: 0.741 eV per atom
DFT total energy: -0.323 Ry/atom
space-group type: F-43m
Fermi-level density of states: 0.82 states/eV per atom

Geometry as POSCAR:
```
SiTe2Ir
1.0
4.8662 0.0000 0.0000
2.4331 4.2142 0.0000
2.4331 1.4047 3.9732
Te Si Ir
2 1 1
Direct
0.0000 0.0000 0.0000 Te
0.2500 0.2500 0.2500 Te
0.7500 0.7500 0.7500 Si
0.5000 0.5000 0.5000 Ir
```


Sr2GaO after structural relaxation, computed with PBE.

Summary:
total moment: 1.88 μB per formula unit
energy relative to the elements, uncorrected: -0.537 eV per atom
DFT total energy: -0.248 Ry/atom
space-group type: Fm-3m
Fermi-level density of states: 1.29 states/eV per atom

Geometry as POSCAR:
```
Sr2GaO
1.0
0.0000 3.6883 3.6883
3.6883 0.0000 3.6883
3.6883 3.6883 0.0000
Sr Ga O
2 1 1
Direct
0.7500 0.7500 0.7500 Sr
0.2500 0.2500 0.2500 Sr
0.5000 0.5000 0.5000 Ga
0.0000 0.0000 0.0000 O
```


RbIn2Hg after structural relaxation, computed with PBE.

Summary:
total moment: 0.00 μB per formula unit
formation energy: -0.06 eV per atom
DFT total energy: -0.128 Ry/atom
space-group type: P4/mmm
Fermi-level density of states: 0.40 states/eV per atom

Geometry as POSCAR:
```
RbIn2Hg
1.0
-2.3957 -0.8033 -2.8782
1.8717 -3.2790 -0.6428
-5.3661 -4.1666 5.6295
In Hg Rb
2 1 1
Direct
0.0000 0.0000 0.8127 In
0.0000 0.0000 0.1873 In
0.5000 0.5000 0.0000 Hg
0.5000 0.5000 0.5000 Rb
```


CrNiHgS2 after structural relaxation, computed with PBE.

Summary:
total moment: 1.55 μB per formula unit
energy relative to the elements, uncorrected: 1.899 eV per atom
DFT total energy: -0.213 Ry/atom
space-group type: P4/mmm
Fermi-level density of states: 1.87 states/eV per atom

Geometry as POSCAR:
```
CrNiHgS2
1.0
-3.6655 -3.2925 -0.1586
0.5164 -0.8133 4.9486
-3.2574 3.5817 0.9286
S Cr Hg Ni
2 1 1 1
Direct
0.0000 0.0000 0.5000 S
0.5000 0.0000 0.0000 S
0.0000 0.5000 0.0000 Cr
0.0000 0.0000 0.0000 Hg
0.5000 0.5000 0.5000 Ni
```


NbCu2B4 after structural relaxation, computed with PBE.

Summary:
total moment: 0.00 μB per formula unit
formation energy: 1.31 eV per atom
DFT total energy: -0.376 Ry/atom
space-group type: I4/mmm
Fermi-level density of states: 0.47 states/eV per atom

Geometry as POSCAR:
```
NbCu2B4
1.0
-4.1447 -0.6336 -0.3185
0.5751 -1.8983 -3.7077
-1.2597 -5.9466 0.4648
B Cu Nb
4 2 1
Direct
0.0000 0.5000 0.0000 B
0.5000 0.0000 0.0000 B
0.2052 0.2052 0.5897 B
0.7948 0.7948 0.4103 B
0.6100 0.6100 0.7800 Cu
0.3900 0.3900 0.2200 Cu
0.0000 0.0000 0.0000 Nb
```


Fe2AgBr after structural relaxation, computed with PBE.

Summary:
total moment: 5.80 μB per formula unit
energy relative to the elements, uncorrected: 0.403 eV per atom
DFT total energy: -0.364 Ry/atom
space-group type: C2/m
Fermi-level density of states: 0.62 states/eV per atom

Geometry as POSCAR:
```
Fe2AgBr
1.0
-2.3840 -3.1740 2.8964
0.2381 -4.4715 2.0238
1.6246 -1.7293 7.4530
Ag Br Fe
1 1 2
Direct
0.7500 0.7500 0.7500 Ag
0.2500 0.2500 0.2500 Br
0.5511 0.5511 0.6066 Fe
0.9489 0.9489 0.8934 Fe
```


LiZn10Au2 after structural relaxation, computed with PBE.

Summary:
total moment: 0.00 μB per formula unit
formation energy: -0.10 eV per atom
DFT total energy: -0.128 Ry/atom
space-group type: Cmcm
Fermi-level density of states: 0.29 states/eV per atom

Geometry as POSCAR:
```
LiZn10Au2
1.0
-0.6943 -6.1494 -2.9204
5.3296 -1.3415 4.0769
-5.8030 -2.5491 6.7472
Zn Au Li
20 4 2
Direct
0.4011 0.5989 0.4104 Zn
0.7743 0.5258 0.2500 Zn
0.2257 0.4742 0.7500 Zn
0.1370 0.3735 0.2500 Zn
0.5989 0.4011 0.9104 Zn
0.6265 0.8630 0.2500 Zn
0.2216 0.2216 0.0000 Zn
0.7784 0.7784 0.0000 Zn
0.8630 0.6265 0.7500 Zn
0.5258 0.7743 0.7500 Zn
0.7784 0.7784 0.5000 Zn
0.2216 0.2216 0.5000 Zn
0.3735 0.1370 0.7500 Zn
0.1485 0.8515 0.6056 Zn
0.8515 0.1485 0.1056 Zn
0.4742 0.2257 0.2500 Zn
0.5989 0.4011 0.5896 Zn
0.4011 0.5989 0.0896 Zn
0.8515 0.1485 0.3944 Zn
0.1485 0.8515 0.8944 Zn
0.0000 0.5000 0.0000 Au
0.5000 0.0000 0.0000 Au
0.5000 0.0000 0.5000 Au
0.0000 0.5000 0.5000 Au
0.8690 0.1310 0.7500 Li
0.1310 0.8690 0.2500 Li
```


InCu2W after structural relaxation, computed with PBE.

Summary:
total moment: 0.00 μB per formula unit
formation energy: 0.44 eV per atom
DFT total energy: -0.406 Ry/atom
space-group type: Imm2
Fermi-level density of states: 0.86 states/eV per atom

Geometry as POSCAR:
```
InCu2W
1.0
-3.4108 4.0229 1.0856
-3.6124 -0.5997 3.9480
5.1395 0.2591 -1.5857
In Cu W
1 2 1
Direct
0.5140 0.5140 0.0000 In
0.7623 0.2623 0.5000 Cu
0.9851 0.9851 0.0000 Cu
0.2386 0.7386 0.5000 W
```


SiOsSe2 after structural relaxation, computed with PBE.

Summary:
total moment: 0.00 μB per formula unit
energy relative to the elements, uncorrected: 0.021 eV per atom
DFT total energy: -0.433 Ry/atom
space-group type: Pm
Fermi-level density of states: 0.38 states/eV per atom

Geometry as POSCAR:
```
SiOsSe2
1.0
-1.3049 0.6786 -2.6005
0.9368 -3.3674 -1.3488
-6.3521 -3.5090 2.2716
Os Se Si
1 2 1
Direct
0.5000 0.9389 0.6679 Os
0.5000 0.2329 0.3440 Se
0.0000 0.8599 0.9271 Se
0.0000 0.4683 0.5611 Si
```


Ce2Be3AlSi4 after structural relaxation, computed with PBE.

Summary:
total moment: 0.01 μB per formula unit
energy relative to the elements, uncorrected: -0.357 eV per atom
DFT total energy: -0.383 Ry/atom
space-group type: P-4m2
Fermi-level density of states: 1.01 states/eV per atom

Geometry as POSCAR:
```
Ce2Be3AlSi4
1.0
-1.9982 3.4162 0.4214
-2.7814 -1.3155 -2.5246
-5.0572 -3.8958 7.6018
Be Si Al Ce
3 4 1 2
Direct
0.5000 0.0000 0.8816 Be
0.0000 0.5000 0.1184 Be
0.0000 0.0000 0.5000 Be
0.5000 0.5000 0.0000 Si
0.0000 0.5000 0.3522 Si
0.0000 0.0000 0.0000 Si
0.5000 0.0000 0.6478 Si
0.5000 0.5000 0.5000 Al
0.5000 0.0000 0.2380 Ce
0.0000 0.5000 0.7620 Ce
```


CaGa8Rh4 after structural relaxation, computed with PBE.

Summary:
total moment: 0.00 μB per formula unit
formation energy: -0.56 eV per atom
DFT total energy: -0.356 Ry/atom
space-group type: I4/mmm
Fermi-level density of states: 0.42 states/eV per atom

Geometry as POSCAR:
```
CaGa8Rh4
1.0
5.1730 0.0000 2.0793
2.5865 6.1546 1.0397
0.2911 0.0000 6.7502
Ga Rh Ca
8 4 1
Direct
0.5000 0.7734 0.2266 Ga
0.0000 0.3448 0.6552 Ga
0.3448 0.6552 0.6552 Ga
0.0000 0.6552 0.3448 Ga
0.5000 0.2266 0.7734 Ga
0.7266 0.7734 0.7734 Ga
0.2734 0.2266 0.2266 Ga
0.6552 0.3448 0.3448 Ga
0.5000 0.5000 0.0000 Rh
0.5000 0.0000 0.5000 Rh
0.0000 0.5000 0.0000 Rh
0.0000 0.0000 0.5000 Rh
0.0000 0.0000 0.0000 Ca
```